This record from the Alexandria database describes SmDy3Rh4 after structural relaxation. The functional is PBE.

Calculated values
- Raw total energy: -109.17 eV for the cell shown
- Density: 10.666 g/cm³
- Total magnetic moment: 0.00 μB/cell

Cell lengths 4.904, 6.793, 9.808 Å; angles 90.00, 90.00, 90.00 degrees
Sites, in units of the cell vectors:
Rh  0.000  0.753  0.250
Rh  0.500  0.753  0.500
Rh  0.500  0.247  0.500
Rh  0.500  0.247  0.000
Rh  0.000  0.753  0.750
Rh  0.500  0.753  0.000
Rh  0.000  0.247  0.750
Rh  0.000  0.247  0.250
Sm  0.000  0.500  0.000
Sm  0.000  0.500  0.500
Dy  0.500  0.000  0.250
Dy  0.000  0.000  0.000
Dy  0.500  0.500  0.250
Dy  0.500  0.500  0.750
Dy  0.500  0.000  0.750
Dy  0.000  0.000  0.500

---

This record from the Alexandria database describes LiBeHPt2 after structural relaxation. The functional is PBE.

Calculated values
- Raw total energy: -23.37 eV for the cell shown
- Density: 12.903 g/cm³
- Total magnetic moment: 0.00 μB/cell

Cell lengths 3.930, 3.930, 3.392 Å; angles 90.00, 90.00, 90.00 degrees
Sites, in units of the cell vectors:
Pt  0.500  0.000  0.000
Pt  0.000  0.500  0.000
Li  0.000  0.000  0.500
Be  0.500  0.500  0.500
H  0.000  0.000  0.000

---

This record from the Alexandria database describes Li2CdSi after structural relaxation. The functional is PBE.

Calculated values
- Raw total energy: -9.87 eV for the cell shown
- Formation energy without anion corrections: 0.3 eV/f.u.
- Density: 3.579 g/cm³
- Total magnetic moment: 0.00 μB/cell

Cell lengths 9.700, 9.700, 9.700 Å; angles 17.45, 17.45, 17.45 degrees
Sites, in units of the cell vectors:
Li  0.247  0.247  0.247
Li  0.999  0.999  0.999
Si  0.506  0.506  0.506
Cd  0.748  0.748  0.748

---

This record from the Alexandria database describes Ag2PtAu4 after structural relaxation. The functional is PBE.

Calculated values
- ΔE to the lowest computed polymorph: 76 meV per atom
- Raw total energy: -48.02 eV for the cell shown
- Density: 14.926 g/cm³
- Total magnetic moment: 0.00 μB/cell

Cell lengths 2.830, 9.352, 10.194 Å; angles 90.00, 90.00, 98.70 degrees
Sites, in units of the cell vectors:
Au  0.006  0.012  0.250
Au  0.994  0.988  0.750
Au  0.500  0.000  0.000
Au  0.770  0.540  0.115
Au  0.770  0.540  0.385
Au  0.500  0.000  0.500
Au  0.230  0.460  0.615
Au  0.230  0.460  0.885
Pt  0.622  0.244  0.750
Pt  0.378  0.756  0.250
Ag  0.869  0.737  0.598
Ag  0.131  0.263  0.402
Ag  0.869  0.737  0.902
Ag  0.131  0.263  0.098

---

Which of these has the highest density?
Ag2PtAu4